The following is a PBE calculation of a geometry-optimized TmMnGaRu structure, from Alexandria.

a b c (Å): 6.402 6.402 6.402
angles (deg): 90.00 90.00 90.00
Positions (direct):
1 Tm 0.000 0.000 0.000
2 Tm 0.000 0.500 0.500
3 Tm 0.500 0.000 0.500
4 Tm 0.500 0.500 0.000
5 Mn 0.250 0.250 0.750
6 Mn 0.250 0.750 0.250
7 Mn 0.750 0.250 0.250
8 Mn 0.750 0.750 0.750
9 Ga 0.000 0.000 0.500
10 Ga 0.000 0.500 0.000
11 Ga 0.500 0.000 0.000
12 Ga 0.500 0.500 0.500
13 Ru 0.250 0.250 0.250
14 Ru 0.250 0.750 0.750
15 Ru 0.750 0.250 0.750
16 Ru 0.750 0.750 0.250

Summary:
symmetry: No. 216
energy relative to the elements: -0.230 eV per atom
raw total energy: -6.716 eV per atom
spin magnetization: 3.09 μB/f.u.

=====

The following is a PBE calculation of a geometry-optimized Mn2VGaRu structure, from Alexandria.

a b c (Å): 4.323 4.323 4.482
angles (deg): 90.00 90.00 90.00
Positions (direct):
1 Mn 0.000 0.500 0.000
2 Mn 0.500 0.000 0.000
3 V 0.000 0.000 0.500
4 Ga 0.000 0.000 0.000
5 Ru 0.500 0.500 0.500

Summary:
symmetry: No. 123
energy relative to the elements: 1.274 eV per atom
raw total energy: -6.678 eV per atom
spin magnetization: 4.55 μB/f.u.

=====

The following is a PBE calculation of a geometry-optimized MnZn2GaRu structure, from Alexandria.

a b c (Å): 4.978 4.978 4.679
angles (deg): 90.00 90.00 90.00
Positions (direct):
1 Mn 0.000 0.000 0.000
2 Zn 0.000 0.500 0.500
3 Zn 0.500 0.000 0.500
4 Ga 0.500 0.500 0.000
5 Ru 0.000 0.000 0.500

Summary:
symmetry: No. 123
energy relative to the elements: 0.647 eV per atom
raw total energy: -4.157 eV per atom
spin magnetization: 4.02 μB/f.u.

=====

The following is a PBE calculation of a geometry-optimized Mn2GaS structure, from Alexandria.

a b c (Å): 2.975 2.975 6.720
angles (deg): 90.00 90.00 120.00
Positions (direct):
1 Mn 0.000 0.000 0.209
2 Mn 0.000 0.000 0.791
3 Ga 0.333 0.667 0.500
4 S 0.667 0.333 0.000

Summary:
relative energy among the computed polymorphs: 0 meV per atom
symmetry: No. 187
formation energy without anion corrections: -0.249 eV/atom
raw total energy: -6.623 eV per atom
spin magnetization: 2.66 μB/f.u.

=====

The following is a PBE calculation of a geometry-optimized Mn2GaS structure, from Alexandria.

a b c (Å): 6.260 6.260 10.186
angles (deg): 90.00 90.00 90.00
Positions (direct):
1 Mn 0.214 0.250 0.125
2 Mn 0.250 0.714 0.375
3 Mn 0.250 0.786 0.875
4 Mn 0.286 0.250 0.625
5 Mn 0.714 0.750 0.625
6 Mn 0.750 0.214 0.875
7 Mn 0.750 0.286 0.375
8 Mn 0.786 0.750 0.125
9 Ga 0.000 0.000 0.500
10 Ga 0.000 0.500 0.750
11 Ga 0.500 0.000 0.250
12 Ga 0.500 0.500 0.000
13 S 0.000 0.000 0.000
14 S 0.000 0.500 0.250
15 S 0.500 0.000 0.750
16 S 0.500 0.500 0.500

Summary:
relative energy among the computed polymorphs: 524 meV per atom
symmetry: No. 122
formation energy without anion corrections: 0.275 eV/atom
raw total energy: -6.099 eV per atom
spin magnetization: 8.36 μB/f.u.

=====

The following is a PBE calculation of a geometry-optimized MnGa2S4 structure, from Alexandria.

a b c (Å): 13.054 13.054 6.428
angles (deg): 98.96 98.96 120.54
Positions (direct):
1 Mn 0.000 0.000 0.000
2 Mn 0.089 0.911 0.500
3 Mn 0.174 0.826 0.000
4 Mn 0.263 0.737 0.500
5 Mn 0.828 0.172 0.000
6 Mn 0.916 0.084 0.500
7 Ga 0.158 0.471 0.896
8 Ga 0.207 0.370 0.365
9 Ga 0.287 0.279 0.863
10 Ga 0.368 0.198 0.364
11 Ga 0.460 0.117 0.866
12 Ga 0.529 0.842 0.104
13 Ga 0.561 0.068 0.397
14 Ga 0.630 0.793 0.635
15 Ga 0.721 0.713 0.137
16 Ga 0.802 0.632 0.636
17 Ga 0.883 0.540 0.134
18 Ga 0.932 0.439 0.603
19 S 0.017 0.193 0.231
20 S 0.072 0.717 0.270
21 S 0.103 0.102 0.728
22 S 0.134 0.612 0.752
23 S 0.192 0.014 0.229
24 S 0.229 0.538 0.264
25 S 0.283 0.928 0.730
26 S 0.298 0.444 0.747
27 S 0.364 0.356 0.246
28 S 0.388 0.866 0.248
29 S 0.446 0.274 0.747
30 S 0.462 0.771 0.736
31 S 0.533 0.207 0.248
32 S 0.556 0.702 0.253
33 S 0.629 0.140 0.765
34 S 0.644 0.636 0.754
35 S 0.702 0.043 0.254
36 S 0.726 0.554 0.253
37 S 0.793 0.467 0.752
38 S 0.807 0.983 0.769
39 S 0.860 0.371 0.235
40 S 0.898 0.897 0.272
41 S 0.957 0.298 0.746
42 S 0.986 0.808 0.771

Summary:
symmetry: No. 5
formation energy without anion corrections: -0.640 eV/atom
raw total energy: -5.173 eV per atom
spin magnetization: 3.33 μB/f.u.

=====

The following is a PBE calculation of a geometry-optimized MnGaS4 structure, from Alexandria.

a b c (Å): 6.978 6.978 6.978
angles (deg): 125.31 116.94 88.22
Positions (direct):
1 Mn 0.500 0.000 0.000
2 Mn 0.500 0.500 0.500
3 Ga 0.000 0.000 0.000
4 Ga 0.500 0.000 0.500
5 S 0.268 0.247 0.021
6 S 0.268 0.273 0.505
7 S 0.268 0.763 0.995
8 S 0.274 0.753 0.521
9 S 0.726 0.247 0.479
10 S 0.732 0.237 0.005
11 S 0.732 0.727 0.495
12 S 0.732 0.753 0.979

Summary:
symmetry: No. 74
formation energy without anion corrections: -0.378 eV/atom
raw total energy: -5.162 eV per atom
spin magnetization: 2.39 μB/f.u.

=====

The following is a PBE calculation of a geometry-optimized Mn2GaS structure, from Alexandria.

a b c (Å): 5.739 5.739 5.739
angles (deg): 90.00 90.00 90.00
Positions (direct):
1 Mn 0.250 0.250 0.250
2 Mn 0.250 0.250 0.750
3 Mn 0.250 0.750 0.250
4 Mn 0.250 0.750 0.750
5 Mn 0.750 0.250 0.250
6 Mn 0.750 0.250 0.750
7 Mn 0.750 0.750 0.250
8 Mn 0.750 0.750 0.750
9 Ga 0.000 0.000 0.000
10 Ga 0.000 0.500 0.500
11 Ga 0.500 0.000 0.500
12 Ga 0.500 0.500 0.000
13 S 0.000 0.000 0.500
14 S 0.000 0.500 0.000
15 S 0.500 0.000 0.000
16 S 0.500 0.500 0.500

Summary:
relative energy among the computed polymorphs: 485 meV per atom
symmetry: No. 225
formation energy without anion corrections: 0.236 eV/atom
raw total energy: -6.137 eV per atom
spin magnetization: 0.96 μB/f.u.